A relaxed structure of YSc2Ru. Source: Alexandria via LeMat-Bulk, functional PBE-GGA.

a = 4.199 Å, b = 4.199 Å, c = 4.864 Å
α = 90.00°, β = 90.00°, γ = 90.00°
Positions (direct):
Y 0.000 0.000 0.000
Sc 0.000 0.500 0.500
Sc 0.500 0.000 0.500
Ru 0.500 0.500 0.000

Results
As for the space-group type: No. 123. Its crystal system is tetragonal. The electronic total energy comes out at -7.1595 eV/atom. The value obtained for the formation enthalpy at 0 K is -0.06 eV per atom. The value obtained for the relative energy among the computed polymorphs is 1.12 eV/f.u. The calculation puts the total magnetization at 0.00 μB/f.u.